# MnSi2Te

A PBEsol-optimized structure of MnSi2Te (meta-GGA SCAN, the Alexandria database).

Cell: 5.2483 5.4630 9.8977 Å, 90.00 90.00 90.00°
With the nearest neighbours (Å) after each atom.
Space group Fmmm (No. 69)
One atom of each set of equivalent atoms:
Mn  0.0000  0.0000  0.0000  4 Te 2.62-2.73, 4 Si 2.83
Si  0.0000  0.2500  0.2500  4 Si 2.62-2.73, 2 Mn 2.83, 2 Te 2.83
Te  0.0000  0.0000  0.5000  4 Mn 2.62-2.73, 4 Si 2.83

Values from the calculation:
* ρ: 5.6 g/cm3
* energy: -74.4 eV per formula unit
* uncorrected formation energy: 286 meV/atom

***

# Y2Sn5Rh3

A PBEsol-optimized structure of Y2Sn5Rh3 (meta-GGA SCAN, the Alexandria database).

Cell: 4.3840 26.1529 7.1252 Å, 90.00 90.00 90.00°
With the nearest neighbours (Å) after each atom.
Space group Cmc2_1 (No. 36)
One atom of each set of equivalent atoms:
Y  0.0000  0.0237  0.0000  3 Rh 2.82-3.04, 2 Sn 3.11
Y  0.0000  0.3280  0.9801  8 Sn 3.12-3.48, 2 Rh 3.22
Sn  0.0000  0.0968  0.6273  3 Rh 2.60-2.67
Sn  0.0000  0.2054  0.1891  4 Rh 2.63-2.76
Sn  0.0000  0.2093  0.7603  3 Rh 2.69-2.71
Sn  0.0000  0.3800  0.5038  4 Rh 2.70-2.85
Sn  0.0000  0.4523  0.8368  4 Rh 2.69-2.74
Rh  0.0000  0.1062  0.2541  6 Sn 2.63-2.85, 1 Y 2.82
Rh  0.0000  0.2773  0.4734  7 Sn 2.69-2.76
Rh  0.0000  0.4500  0.2203  5 Sn 2.60-2.73

Values from the calculation:
* ρ: 8.8 g/cm3
* formation energy: -0.82 eV/atom
* energy: -344.8 eV per formula unit

***

# BaAs3Os

A PBEsol-optimized structure of BaAs3Os (meta-GGA SCAN, the Alexandria database).

Cell: 4.9102 4.9102 4.9102 Å, 90.00 90.00 90.00°
With the nearest neighbours (Å) after each atom.
Space group Pm-3m (No. 221)
One atom of each set of equivalent atoms:
Ba  0.0000  0.0000  0.0000  12 As 3.47
As  0.0000  0.5000  0.5000  2 Os 2.46
Os  0.5000  0.5000  0.5000  6 As 2.46

Values from the calculation:
* ρ: 7.7 g/cm3
* formation energy: 0.00 eV/atom
* energy: -172.0 eV per formula unit

***

# MgZrRe2

A PBEsol-optimized structure of MgZrRe2 (meta-GGA SCAN, the Alexandria database).

Cell: 5.6041 9.0524 2.6344 Å, 90.00 90.00 90.00°
With the nearest neighbours (Å) after each atom.
Space group Cmmm (No. 65)
One atom of each set of equivalent atoms:
Mg  0.0000  0.0000  0.0000  2 Mg 2.63, 2 Zr 2.80
Zr  0.0000  0.5000  0.0000  2 Zr 2.63, 2 Mg 2.80
Re  0.2500  0.2500  0.5000  4 Re 2.63-2.80

Values from the calculation:
* ρ: 12.1 g/cm3
* formation energy: 0.28 eV/atom
* energy: -176.8 eV per formula unit

***

# LaH2Au

A PBEsol-optimized structure of LaH2Au (meta-GGA SCAN, the Alexandria database).

Cell: 4.5429 4.5429 11.1276 Å, 90.00 90.00 90.00°
With the nearest neighbours (Å) after each atom.
Space group I-42d (No. 122)
One atom of each set of equivalent atoms:
La  0.0000  0.0000  0.0000  4 H 2.54
H  0.1057  0.2500  0.6250  2 Au 1.86
Au  0.0000  0.0000  0.5000  4 H 1.86

Values from the calculation:
* ρ: 9.8 g/cm3
* energy: -120.6 eV per formula unit

***

# BaGa2H2

A PBEsol-optimized structure of BaGa2H2 (meta-GGA SCAN, the Alexandria database).

Cell: 4.4852 4.4852 4.7854 Å, 90.00 90.00 120.00°
With the nearest neighbours (Å) after each atom.
Space group P-3m1 (No. 164)
One atom of each set of equivalent atoms:
Ba  0.0000  0.0000  0.0000  6 H 2.65
Ga  0.3333  0.6667  0.4702  1 H 1.68
H  0.3333  0.6667  0.1181  1 Ga 1.68

Values from the calculation:
* ρ: 5.6 g/cm3
* energy: -81.8 eV per formula unit